1.
# LiPu2ZrN4

A relaxed LiPu2ZrN4 crystal (PBE, the Alexandria database).

Cell: 3.395 5.712 5.867 Å, 70.55 90.00 90.00°
Last column: magnetic moment on the atom in μB.
Element x y z (fractional)
1 Li 0.000 0.500 0.500  0.00
2 N 0.500 0.232 0.781  -0.18
3 N 0.000 0.745 0.765  -0.14
4 Zr 0.500 0.500 0.000  0.21
5 N 0.500 0.768 0.219  -0.18
6 N 0.000 0.255 0.235  -0.14
7 Pu 0.000 0.000 0.000  4.12
8 Pu 0.500 0.000 0.500  4.78

Formation energy from raw total energies = -1181 meV per atom
Space-group type = P2/m


2.
# RbLi2N

A relaxed RbLi2N crystal (PBE, the Alexandria database).

Cell: 3.670 3.670 5.955 Å, 72.05 72.05 60.00°
Element x y z (fractional)
1 Rb 0.000 0.000 0.000
2 Li 0.179 0.179 0.463
3 N 0.500 0.500 0.500
4 Li 0.821 0.821 0.537

Formation energy from raw total energies = 4 meV per atom
Space-group type = R-3m


3.
# RbLi2N

A relaxed RbLi2N crystal (PBE, the Alexandria database).

Cell: 5.913 5.913 6.259 Å, 61.81 61.81 90.00°
Element x y z (fractional)
1 Li 0.375 0.125 0.250
2 N 0.250 0.750 0.500
3 N 0.500 0.500 0.000
4 Rb 0.750 0.250 0.500
5 Li 0.375 0.625 0.750
6 Li 0.875 0.625 0.750
7 Li 0.375 0.625 0.250
8 Rb 0.000 0.000 0.000

Formation energy from raw total energies = -79 meV per atom
Space-group type = I4_1/amd


4.
# RbLiN2

A relaxed RbLiN2 crystal (PBE, the Alexandria database).

Cell: 4.676 4.676 4.676 Å, 60.00 60.00 60.00°
Last column: magnetic moment on the atom in μB.
Element x y z (fractional)
1 Rb 0.500 0.500 0.500  0.06
2 Li 0.000 0.000 0.000  -0.01
3 N 0.750 0.750 0.750  1.32
4 N 0.250 0.250 0.250  1.32

Energy relative to the lowest polymorph listed for this composition = 583 meV per atom
Formation energy from raw total energies = 1545 meV per atom
Space-group type = Fm-3m


5.
# RbLiN2

A relaxed RbLiN2 crystal (PBE, the Alexandria database).

Cell: 4.003 4.003 7.768 Å, 75.07 75.07 90.00°
Element x y z (fractional)
1 Rb 0.750 0.250 0.500
2 N 0.375 0.625 0.250
3 N 0.375 0.625 0.750
4 N 0.375 0.125 0.250
5 Li 0.250 0.750 0.500
6 N 0.875 0.625 0.750
7 Li 0.500 0.500 0.000
8 Rb 0.000 0.000 0.000

Energy relative to the lowest polymorph listed for this composition = 24 meV per atom
Formation energy from raw total energies = 986 meV per atom
Space-group type = I4_1/amd


6.
# RbLiN

A relaxed RbLiN crystal (PBE, the Alexandria database).

Cell: 4.370 6.861 6.867 Å, 79.26 89.70 89.93°
Last column: magnetic moment on the atom in μB.
Element x y z (fractional)
1 N 0.641 0.000 0.000  0.23
2 Rb 0.504 0.715 0.715  0.00
3 N 0.359 0.000 0.000  0.23
4 Rb 0.496 0.285 0.285  0.00
5 Li 0.999 0.862 0.138  0.04
6 Li 0.001 0.138 0.862  0.04

Formation energy from raw total energies = -16 meV per atom
Space-group type = P-1


7.
# RbLi2N2

A relaxed RbLi2N2 crystal (PBE, the Alexandria database).

Cell: 7.219 7.219 3.505 Å, 90.00 90.00 90.00°
Last column: magnetic moment on the atom in μB.
Element x y z (fractional)
1 Li 0.894 0.394 0.500  0.00
2 Rb 0.500 0.500 0.000  0.01
3 N 0.065 0.435 0.000  0.28
4 Rb 0.000 0.000 0.000  0.01
5 N 0.435 0.935 0.000  0.28
6 Li 0.606 0.894 0.500  0.00
7 N 0.565 0.065 0.000  0.28
8 N 0.935 0.565 0.000  0.28
9 Li 0.106 0.606 0.500  0.00
10 Li 0.394 0.106 0.500  0.00

Formation energy from raw total energies = 144 meV per atom
Space-group type = P4/mbm


8.
# Rb3LiN

A relaxed Rb3LiN crystal (PBE, the Alexandria database).

Cell: 5.974 5.974 5.974 Å, 90.00 90.00 90.00°
Element x y z (fractional)
1 Rb 0.000 0.500 0.000
2 Rb 0.000 0.000 0.500
3 Rb 0.500 0.000 0.000
4 Li 0.500 0.500 0.500
5 N 0.000 0.000 0.000

Energy relative to the lowest polymorph listed for this composition = 0 meV per atom
Formation energy from raw total energies = 585 meV per atom
Space-group type = Pm-3m


9.
# RbLiN2

A relaxed RbLiN2 crystal (PBE, the Alexandria database).

Cell: 5.695 5.695 5.695 Å, 36.56 36.56 36.56°
Element x y z (fractional)
1 N 0.818 0.818 0.818
2 Rb 0.000 0.000 0.000
3 Li 0.500 0.500 0.500
4 N 0.182 0.182 0.182

Energy relative to the lowest polymorph listed for this composition = 0 meV per atom
Formation energy from raw total energies = 962 meV per atom
Space-group type = R-3m


10.
# RbLiN2

A relaxed RbLiN2 crystal (PBE, the Alexandria database).

Cell: 7.871 7.871 7.871 Å, 31.63 31.63 31.63°
Last column: magnetic moment on the atom in μB.
Element x y z (fractional)
1 Li 0.000 0.000 0.000  0.00
2 Rb 0.500 0.500 0.500  0.04
3 N 0.912 0.912 0.912  1.19
4 N 0.088 0.088 0.088  1.19

Energy relative to the lowest polymorph listed for this composition = 471 meV per atom
Formation energy from raw total energies = 1433 meV per atom
Space-group type = R-3m


11.
# RbLiSN2

A relaxed RbLiSN2 crystal (PBE, the Alexandria database).

Cell: 5.306 5.306 6.208 Å, 90.00 90.00 90.00°
Last column: magnetic moment on the atom in μB.
Element x y z (fractional)
1 N 0.500 0.000 0.000  1.69
2 Li 0.500 0.500 0.500  -0.01
3 Rb 0.000 0.000 0.000  0.11
4 S 0.000 0.000 0.500  0.48
5 N 0.000 0.500 0.000  1.69

Formation energy from raw total energies = 1859 meV per atom
Space-group type = P4/mmm


12.
# RbLiSe2N

A relaxed RbLiSe2N crystal (PBE, the Alexandria database).

Cell: 4.823 4.823 5.341 Å, 90.00 90.00 90.00°
Last column: magnetic moment on the atom in μB.
Element x y z (fractional)
1 Rb 0.500 0.500 0.500  0.01
2 Se 0.500 0.000 0.000  0.15
3 Se 0.000 0.500 0.000  0.15
4 Li 0.000 0.000 0.000  0.00
5 N 0.000 0.000 0.500  1.73

Energy relative to the lowest polymorph listed for this composition = 0 meV per atom
Formation energy from raw total energies = 427 meV per atom
Space-group type = P4/mmm


13.
# RbLiSeN2

A relaxed RbLiSeN2 crystal (PBE, the Alexandria database).

Cell: 4.822 4.822 4.946 Å, 90.00 90.00 90.00°
Last column: magnetic moment on the atom in μB.
Element x y z (fractional)
1 N 0.500 0.000 0.000  1.64
2 Li 0.000 0.000 0.000  0.01
3 Se 0.000 0.000 0.500  0.63
4 N 0.000 0.500 0.000  1.64
5 Rb 0.500 0.500 0.500  0.02

Energy relative to the lowest polymorph listed for this composition = 0 meV per atom
Formation energy from raw total energies = 1214 meV per atom
Space-group type = P4/mmm


14.
# RbLiSe2N

A relaxed RbLiSe2N crystal (PBE, the Alexandria database).

Cell: 6.262 6.262 5.391 Å, 90.00 90.00 90.00°
Last column: magnetic moment on the atom in μB.
Element x y z (fractional)
1 Se 0.500 0.000 0.000  0.68
2 Se 0.000 0.500 0.000  0.68
3 Rb 0.000 0.000 0.000  0.08
4 Li 0.500 0.500 0.500  -0.01
5 N 0.000 0.000 0.500  1.77

Energy relative to the lowest polymorph listed for this composition = 733 meV per atom
Formation energy from raw total energies = 1159 meV per atom
Space-group type = P4/mmm


15.
# RbLiSeN2

A relaxed RbLiSeN2 crystal (PBE, the Alexandria database).

Cell: 5.299 5.299 6.569 Å, 90.00 90.00 90.00°
Last column: magnetic moment on the atom in μB.
Element x y z (fractional)
1 Li 0.500 0.500 0.500  -0.01
2 N 0.500 0.000 0.000  1.69
3 N 0.000 0.500 0.000  1.69
4 Se 0.000 0.000 0.500  0.47
5 Rb 0.000 0.000 0.000  0.10

Energy relative to the lowest polymorph listed for this composition = 571 meV per atom
Formation energy from raw total energies = 1785 meV per atom
Space-group type = P4/mmm


16.
# RbLiTa4N8

A relaxed RbLiTa4N8 crystal (PBE, the Alexandria database).

Cell: 6.397 6.397 6.583 Å, 60.93 60.93 60.00°
Last column: magnetic moment on the atom in μB.
Element x y z (fractional)
1 Ta 0.490 0.000 0.510  -0.01
2 N 0.739 0.247 0.275  0.00
3 Ta 0.621 0.621 0.138  0.01
4 N 0.826 0.242 0.690  0.05
5 Rb 0.368 0.368 0.896  0.05
6 N 0.242 0.826 0.690  0.05
7 Ta 0.000 0.490 0.510  -0.01
8 N 0.739 0.739 0.275  0.00
9 N 0.758 0.758 0.727  0.03
10 Ta 0.000 0.000 0.510  -0.01
11 Li 0.001 0.001 0.996  0.00
12 N 0.247 0.739 0.275  0.00
13 N 0.242 0.242 0.690  0.05
14 N 0.227 0.227 0.319  0.30

Formation energy from raw total energies = -445 meV per atom
Space-group type = R3m


17.
# RbLiTcN2

A relaxed RbLiTcN2 crystal (PBE, the Alexandria database).

Cell: 3.469 6.022 8.084 Å, 100.61 90.00 106.74°
Last column: magnetic moment on the atom in μB.
Element x y z (fractional)
1 N 0.880 0.760 0.061  0.00
2 Tc 0.948 0.895 0.847  0.10
3 N 0.596 0.193 0.252  0.00
4 N 0.404 0.807 0.748  0.00
5 Rb 0.355 0.709 0.368  0.00
6 Li 0.307 0.614 0.951  0.00
7 Tc 0.052 0.105 0.153  0.10
8 N 0.120 0.240 0.939  0.00
9 Rb 0.645 0.291 0.632  0.00
10 Li 0.693 0.386 0.049  0.00

Formation energy from raw total energies = -215 meV per atom
Space-group type = C2/m


18.
# Rb2LiTc2N4

A relaxed Rb2LiTc2N4 crystal (PBE, the Alexandria database).

Cell: 3.421 7.256 6.688 Å, 109.29 90.00 103.63°
Element x y z (fractional)
1 Tc 0.676 0.353 0.992
2 N 0.781 0.561 0.836
3 N 0.219 0.439 0.164
4 N 0.549 0.098 0.827
5 Rb 0.121 0.243 0.485
6 Rb 0.879 0.757 0.515
7 Li 0.000 0.000 0.000
8 N 0.451 0.902 0.173
9 Tc 0.324 0.647 0.008

Formation energy from raw total energies = -151 meV per atom
Space-group type = C2/m


19.
# RbLiTeN2

A relaxed RbLiTeN2 crystal (PBE, the Alexandria database).

Cell: 5.007 5.007 5.317 Å, 90.00 90.00 90.00°
Last column: magnetic moment on the atom in μB.
Element x y z (fractional)
1 Te 0.000 0.000 0.500  0.53
2 Rb 0.500 0.500 0.500  0.02
3 Li 0.000 0.000 0.000  0.01
4 N 0.500 0.000 0.000  1.63
5 N 0.000 0.500 0.000  1.63

Energy relative to the lowest polymorph listed for this composition = 0 meV per atom
Formation energy from raw total energies = 1298 meV per atom
Space-group type = P4/mmm


20.
# RbLiTeN2

A relaxed RbLiTeN2 crystal (PBE, the Alexandria database).

Cell: 5.265 5.265 7.154 Å, 90.00 90.00 90.00°
Last column: magnetic moment on the atom in μB.
Element x y z (fractional)
1 Te 0.000 0.000 0.500  0.47
2 N 0.500 0.000 0.000  0.89
3 N 0.000 0.500 0.000  0.89
4 Rb 0.000 0.000 0.000  0.12
5 Li 0.500 0.500 0.500  0.00

Energy relative to the lowest polymorph listed for this composition = 705 meV per atom
Formation energy from raw total energies = 2003 meV per atom
Space-group type = P4/mmm